The following is a GGA-PBEsol calculation of an optimized crystal structure of CaHf2TlH, from Alexandria via LeMat-Bulk.

Summary:
symmetry	No. 123

a b c (Å): 4.288 4.288 5.252
angles (deg): 90.00 90.00 90.00
Atoms (fractional coordinates):
1 Hf 0.500 0.000 0.000
2 Hf 0.000 0.500 0.000
3 Tl 0.000 0.000 0.500
4 H 0.000 0.000 0.000
5 Ca 0.500 0.500 0.500



The following is a GGA-PBEsol calculation of an optimized crystal structure of Zn4CdS5, from Alexandria via LeMat-Bulk.

Summary:
uncorrected formation energy	-0.751	eV per atom
symmetry	No. 156

a b c (Å): 3.836 3.836 31.757
angles (deg): 90.00 90.00 120.00
Atoms (fractional coordinates):
1 Zn 0.333 0.667 0.009
2 Zn 0.333 0.667 0.591
3 Zn 0.667 0.333 0.494
4 Zn 0.667 0.333 0.106
5 Zn 0.333 0.667 0.397
6 Zn 0.667 0.333 0.300
7 Zn 0.333 0.667 0.800
8 Zn 0.333 0.667 0.203
9 S 0.667 0.333 0.567
10 S 0.333 0.667 0.276
11 S 0.333 0.667 0.663
12 S 0.333 0.667 0.082
13 S 0.667 0.333 0.373
14 S 0.667 0.333 0.986
15 S 0.333 0.667 0.873
16 S 0.667 0.333 0.179
17 S 0.333 0.667 0.470
18 S 0.667 0.333 0.776
19 Cd 0.667 0.333 0.907
20 Cd 0.667 0.333 0.698



The following is a GGA-PBEsol calculation of an optimized crystal structure of Sr2CaTl, from Alexandria via LeMat-Bulk.

Summary:
E above lowest polymorph	0.0	meV/atom
ΔE_f	-0.24	eV/atom
symmetry	No. 123

a b c (Å): 4.004 4.004 9.784
angles (deg): 90.00 90.00 90.00
Atoms (fractional coordinates):
1 Sr 0.000 0.000 0.201
2 Sr 0.000 0.000 0.799
3 Ca 0.500 0.500 0.500
4 Tl 0.500 0.500 0.000



The following is a GGA-PBEsol calculation of an optimized crystal structure of CrNiIr2, from Alexandria via LeMat-Bulk.

Summary:
ΔE_f	-0.08	eV/atom
symmetry	No. 166

a b c (Å): 2.641 2.641 8.502
angles (deg): 81.06 81.06 60.00
Atoms (fractional coordinates):
1 Ni 0.500 0.500 0.500
2 Ir 0.749 0.749 0.754
3 Ir 0.251 0.251 0.246
4 Cr 0.000 0.000 0.000



no.,energy (eV per atom)
1,-5.74
2,-3.70
3,-2.35
4,-9.09